Record 1
# Ac2Ho2Cd15

An optimized crystal structure of Ac2Ho2Cd15 (PBE, Alexandria via LeMat-Bulk).

a = 10.2427 Å, b = 10.2427 Å, c = 15.9524 Å
α = 90.00°, β = 90.00°, γ = 120.00°
Space group R-3m (No. 166, hexagonal axes)
Inequivalent atoms, fractional coordinates:
1 Ac 0.0000 0.0000 0.1648 x6
2 Ho 0.0000 0.0000 0.4015 x6
3 Cd 0.0000 0.2895 0.5000 x18
4 Cd 0.0000 0.5000 0.0000 x9
5 Cd 0.0092 0.5046 0.6404 x18

Computed properties:
calculated total energy: -0.1338 Ry/atom
total moment: 0.0 μB per cell
D(E_F): 35.2 states/eV/cell
energy of formation from the pure elements: -0.183 eV/atom


Record 2
# AcHo2Cd

An optimized crystal structure of AcHo2Cd (PBE, Alexandria via LeMat-Bulk).

a = 4.975 Å, b = 4.975 Å, c = 5.112 Å
α = 90.00°, β = 90.00°, γ = 90.00°
Space group P4/mmm (No. 123)
Inequivalent atoms, fractional coordinates:
1 Ac 0.000 0.000 0.000 x1
2 Ho 0.000 0.500 0.500 x2
3 Cd 0.500 0.500 0.000 x1

Computed properties:
calculated total energy: -0.2621 Ry/atom
total moment: 0.3 μB per cell
D(E_F): 6.2 states/eV/cell
distance to the lowest polymorph of the same formula: 0.093 eV per atom
energy of formation from the pure elements: -0.021 eV/atom


Record 3
# Ac3HoCd4

An optimized crystal structure of Ac3HoCd4 (PBE, Alexandria via LeMat-Bulk).

a = 3.965 Å, b = 3.965 Å, c = 16.150 Å
α = 90.00°, β = 90.00°, γ = 90.00°
Space group P4/mmm (No. 123)
Inequivalent atoms, fractional coordinates:
1 Ac 0.000 0.000 0.000 x1
2 Ac 0.000 0.000 0.262 x2
3 Ho 0.000 0.000 0.500 x1
4 Cd 0.500 0.500 0.130 x2
5 Cd 0.500 0.500 0.398 x2

Computed properties:
calculated total energy: -0.2096 Ry/atom
total moment: 0.1 μB per cell
D(E_F): 10.7 states/eV/cell
energy of formation from the pure elements: -0.281 eV/atom


Record 4
# Ac6HoCd2

An optimized crystal structure of Ac6HoCd2 (PBE, Alexandria via LeMat-Bulk).

a = 13.851 Å, b = 4.029 Å, c = 13.020 Å
α = 90.00°, β = 108.21°, γ = 90.00°
Space group C2/m (No. 12)
Inequivalent atoms, fractional coordinates:
1 Ac 0.029 0.000 0.329 x4
2 Ac 0.179 0.500 0.879 x4
3 Ac 0.187 0.500 0.593 x4
4 Ho 0.000 0.000 0.000 x2
5 Cd 0.139 0.500 0.180 x4

Computed properties:
calculated total energy: -0.2607 Ry/atom
total moment: 0.0 μB per cell
D(E_F): 21.4 states/eV/cell
energy of formation from the pure elements: -0.096 eV/atom


Record 5
# Ac3Ho2Cd3

An optimized crystal structure of Ac3Ho2Cd3 (PBE, Alexandria via LeMat-Bulk).

a = 3.937 Å, b = 5.751 Å, c = 23.380 Å
α = 90.00°, β = 90.00°, γ = 90.00°
Space group Immm (No. 71)
Inequivalent atoms, fractional coordinates:
1 Ac 0.000 0.000 0.000 x2
2 Ac 0.000 0.500 0.126 x4
3 Ho 0.000 0.000 0.235 x4
4 Cd 0.000 0.000 0.500 x2
5 Cd 0.000 0.500 0.371 x4

Computed properties:
calculated total energy: -0.2376 Ry/atom
total moment: 0.0 μB per cell
D(E_F): 19.7 states/eV/cell
energy of formation from the pure elements: -0.205 eV/atom


Record 6
# AcHoCd2In2

An optimized crystal structure of AcHoCd2In2 (PBE, Alexandria via LeMat-Bulk).

a = 4.9627 Å, b = 4.9627 Å, c = 7.8371 Å
α = 90.00°, β = 90.00°, γ = 120.00°
Space group P-3m1 (No. 164)
Inequivalent atoms, fractional coordinates:
1 Ac 0.0000 0.0000 0.0000 x1
2 Ho 0.0000 0.0000 0.5000 x1
3 Cd 0.3333 0.6667 0.7010 x2
4 In 0.3333 0.6667 0.2732 x2

Computed properties:
calculated total energy: -0.2264 Ry/atom
total moment: 0.0 μB per cell
D(E_F): 3.6 states/eV/cell
energy of formation from the pure elements: -0.415 eV/atom